SmMnSbO | PBE+U | optimized geometry

- Raw total energy: -55.10 eV/cell

```
data_SmMnSbO
_chemical_formula_sum 'Sm2 Mn2 Sb2 O2'
_cell_length_a 4.211
_cell_length_b 4.211
_cell_length_c 9.695
_cell_angle_alpha 90.00
_cell_angle_beta 90.00
_cell_angle_gamma 90.00
_space_group_name_H-M_alt 'P 4/n m m'
_space_group_IT_number 129
loop_
_space_group_symop_operation_xyz
'x,y,z'
'-x,-y,-z'
'-y+1/2,x,z'
'y+1/2,-x,-z'
'-x+1/2,-y+1/2,z'
'x+1/2,y+1/2,-z'
'y,-x+1/2,z'
'-y,x+1/2,-z'
'x+1/2,-y,-z'
'-x+1/2,y,z'
'-y,-x,-z'
'y,x,z'
'-x,y+1/2,-z'
'x,-y+1/2,z'
'y+1/2,x+1/2,-z'
'-y+1/2,-x+1/2,z'
loop_
_atom_site_label
_atom_site_type_symbol
_atom_site_fract_x
_atom_site_fract_y
_atom_site_fract_z
_atom_site_occupancy
Sm1 Sm 0.250 0.250 0.109 1
Mn1 Mn 0.250 0.750 0.500 1
Sb1 Sb 0.250 0.250 0.694 1
O1 O 0.250 0.750 0.000 1
```